Run i
## CaC2 (PBE)

Data for CaC2 after structural relaxation.

For the density of states at the Fermi level, the calculation gives 7.50 states/eV per cell. The calculation puts the total moment at 0.00 μB/f.u.

Unit cell a=3.945 b=14.956 c=3.265 alpha=90.00 beta=90.00 gamma=90.00
Space group Cmmm (No. 65)
Inequivalent atoms, fractional coordinates:
1 Ca 0.000 0.119 0.000
2 C 0.000 0.000 0.500
3 C 0.000 0.450 0.500
4 C 0.000 0.500 0.000

Run ii
## CaC2 (PBE)

Data for CaC2 after structural relaxation.

For the density of states at the Fermi level, the calculation gives 3.73 states/eV per cell. The calculation puts the total moment at 0.00 μB/f.u.

Unit cell a=2.971 b=16.356 c=2.697 alpha=90.00 beta=90.00 gamma=90.00
Space group Cmcm (No. 63)
Inequivalent atoms, fractional coordinates:
1 Ca 0.000 0.116 0.250
2 C 0.000 0.254 0.750
3 C 0.000 0.480 0.250

Run iii
## CaC2 (PBE)

Data for CaC2 after structural relaxation.

The calculation puts the total moment at 0.00 μB/f.u.

Unit cell a=5.272 b=5.272 c=6.605 alpha=90.00 beta=90.00 gamma=90.00
Space group I4/mcm (No. 140)
Inequivalent atoms, fractional coordinates:
1 Ca 0.000 0.000 0.250
2 C 0.084 0.416 0.000

Verdict on stability: run i comes out at the bottom.

Run i
## CaC2 (PBE)

Data for CaC2 after structural relaxation.

For the density of states at the Fermi level, the calculation gives 3.10 states/eV per cell. The calculation puts the total moment at 0.00 μB/f.u.

Unit cell a=3.738 b=8.788 c=4.764 alpha=90.00 beta=90.00 gamma=90.00
Space group Cmcm (No. 63)
Inequivalent atoms, fractional coordinates:
1 Ca 0.000 0.147 0.250
2 C 0.000 0.438 0.103

Run ii
## CaC2 (PBE)

Data for CaC2 after structural relaxation.

For the density of states at the Fermi level, the calculation gives 0.00 states/eV per cell. The calculation puts the total moment at 0.00 μB/f.u.

Unit cell a=4.2651 b=4.2651 c=12.7759 alpha=90.00 beta=90.00 gamma=120.00
Space group R3m (No. 160, hexagonal axes)
Inequivalent atoms, fractional coordinates:
1 Ca 0.0000 0.0000 0.0000
2 C 0.0000 0.0000 0.1956
3 C 0.0000 0.0000 0.2942

Verdict on stability: run ii comes out at the bottom.

Run i
## CaC2 (PBE)

Data for CaC2 after structural relaxation.

For the density of states at the Fermi level, the calculation gives 1.62 states/eV per cell. The calculation puts the total moment at 0.00 μB/f.u.

Unit cell a=4.0860 b=4.0860 c=13.0592 alpha=90.00 beta=90.00 gamma=120.00
Space group P-3m1 (No. 164)
Inequivalent atoms, fractional coordinates:
1 Ca 0.0000 0.0000 0.0000
2 Ca 0.3333 0.6667 0.3577
3 C 0.0000 0.0000 0.4517
4 C 0.3333 0.6667 0.0891
5 C 0.3333 0.6667 0.1853

Run ii
## CaC2 (PBE)

Data for CaC2 after structural relaxation.

For the density of states at the Fermi level, the calculation gives 23.09 states/eV per cell. The calculation puts the total moment at 0.00 μB/f.u.

Unit cell a=6.396 b=6.396 c=6.396 alpha=90.00 beta=90.00 gamma=90.00
Space group Fd-3m (No. 227, origin choice 2)
Inequivalent atoms, fractional coordinates:
1 Ca 0.125 0.125 0.125
2 C 0.000 0.000 0.500

Verdict on stability: run ii comes out at the bottom.

Run i
## CaC2 (PBE)

Data for CaC2 after structural relaxation.

For the density of states at the Fermi level, the calculation gives 0.02 states/eV per cell. The calculation puts the total moment at 0.00 μB/f.u.

Unit cell a=3.773 b=3.773 c=11.664 alpha=90.00 beta=90.00 gamma=90.00
Space group I4_1/amd (No. 141, origin choice 2)
Inequivalent atoms, fractional coordinates:
1 Ca 0.000 0.250 0.375
2 C 0.000 0.250 0.819

Run ii
## CaC2 (PBE)

Data for CaC2 after structural relaxation.

For the density of states at the Fermi level, the calculation gives 1.18 states/eV per cell. The calculation puts the total moment at 0.00 μB/f.u.

Unit cell a=2.7816 b=2.7816 c=8.4999 alpha=90.00 beta=90.00 gamma=120.00
Space group P6_3/mmc (No. 194)
Inequivalent atoms, fractional coordinates:
1 Ca 0.0000 0.0000 0.2500
2 C 0.3333 0.6667 0.0173

Run iii
## CaC2 (PBE)

Data for CaC2 after structural relaxation.

For the density of states at the Fermi level, the calculation gives 0.00 states/eV per cell. The calculation puts the total moment at 0.00 μB/f.u.

Unit cell a=5.857 b=5.857 c=5.857 alpha=90.00 beta=90.00 gamma=90.00
Space group Pa-3 (No. 205)
Inequivalent atoms, fractional coordinates:
1 Ca 0.000 0.000 0.000
2 C 0.062 0.562 0.938

Run iv
## CaC2 (PBE)

Data for CaC2 after structural relaxation.

For the density of states at the Fermi level, the calculation gives 3.50 states/eV per cell. The calculation puts the total moment at 0.00 μB/f.u.

Unit cell a=2.682 b=6.497 c=7.369 alpha=90.00 beta=90.00 gamma=90.00
Space group Immm (No. 71)
Inequivalent atoms, fractional coordinates:
1 Ca 0.000 0.000 0.206
2 C 0.000 0.232 0.500
3 C 0.000 0.386 0.000

Verdict on stability: run ii comes out at the bottom.

Run i
## CaC2 (PBE)

Data for CaC2 after structural relaxation.

For the density of states at the Fermi level, the calculation gives 4.77 states/eV per cell. The calculation puts the total moment at 0.00 μB/f.u.

Unit cell a=2.689 b=9.869 c=5.286 alpha=90.00 beta=90.00 gamma=90.00
Space group Cmcm (No. 63)
Inequivalent atoms, fractional coordinates:
1 Ca 0.000 0.124 0.250
2 C 0.000 0.155 0.750
3 C 0.000 0.401 0.250

Run ii
## CaC2 (PBE)

Data for CaC2 after structural relaxation.

For the density of states at the Fermi level, the calculation gives 0.97 states/eV per cell. The calculation puts the total moment at 0.00 μB/f.u.

Unit cell a=2.7728 b=2.7728 c=4.2012 alpha=90.00 beta=90.00 gamma=120.00
Space group P6/mmm (No. 191)
Inequivalent atoms, fractional coordinates:
1 Ca 0.0000 0.0000 0.0000
2 C 0.3333 0.6667 0.5000

Run iii
## CaC2 (PBE)

Data for CaC2 after structural relaxation.

For the density of states at the Fermi level, the calculation gives 1.27 states/eV per cell. The calculation puts the total moment at 0.00 μB/f.u.

Unit cell a=3.305 b=3.305 c=7.370 alpha=90.00 beta=90.00 gamma=90.00
Space group P4/nmm (No. 129, origin choice 2)
Inequivalent atoms, fractional coordinates:
1 Ca 0.250 0.250 0.236
2 C 0.250 0.250 0.567
3 C 0.250 0.750 0.500

Verdict on stability: run iii comes out at the bottom.

Run i
## CaC2 (PBE)

Data for CaC2 after structural relaxation.

For the density of states at the Fermi level, the calculation gives 2.76 states/eV per cell. The calculation puts the total moment at 0.00 μB/f.u.

Unit cell a=7.862 b=4.265 c=7.444 alpha=90.00 beta=102.16 gamma=90.00
Space group C2/m (No. 12)
Inequivalent atoms, fractional coordinates:
1 Ca 0.208 0.000 0.289
2 C 0.037 0.500 0.427
3 C 0.066 0.000 0.573

Run ii
## CaC2 (PBE)

Data for CaC2 after structural relaxation.

For the density of states at the Fermi level, the calculation gives 2.91 states/eV per cell. The calculation puts the total moment at 0.35 μB/f.u.

Unit cell a=4.1894 b=4.1894 c=5.1503 alpha=90.00 beta=90.00 gamma=120.00
Space group P6_3/mmc (No. 194)
Inequivalent atoms, fractional coordinates:
1 Ca 0.3333 0.6667 0.2500
2 C 0.0000 0.0000 0.0000
3 C 0.3333 0.6667 0.7500

Run iii
## CaC2 (PBE)

Data for CaC2 after structural relaxation.

For the density of states at the Fermi level, the calculation gives 4.03 states/eV per cell. The calculation puts the total moment at 0.00 μB/f.u.

Unit cell a=6.237 b=5.167 c=5.352 alpha=90.00 beta=96.34 gamma=90.00
Space group C2/m (No. 12)
Inequivalent atoms, fractional coordinates:
1 Ca 0.176 0.000 0.267
2 C 0.081 0.500 0.095
3 C 0.233 0.000 0.759

Verdict on stability: run ii comes out at the bottom.

Run i
## Ca2C3 (PBE)

Data for Ca2C3 after structural relaxation.

For the density of states at the Fermi level, the calculation gives 4.40 states/eV per cell. The calculation puts the total moment at 0.00 μB/f.u.

Unit cell a=2.9731 b=2.9731 c=23.2074 alpha=90.00 beta=90.00 gamma=120.00
Space group R-3m (No. 166, hexagonal axes)
Inequivalent atoms, fractional coordinates:
1 Ca 0.0000 0.0000 0.0923
2 C 0.0000 0.0000 0.3412
3 C 0.0000 0.0000 0.5000

Run ii
## Ca2C3 (PBE)

Data for Ca2C3 after structural relaxation.

For the density of states at the Fermi level, the calculation gives 2.03 states/eV per cell. The calculation puts the total moment at 1.95 μB/f.u.

Unit cell a=4.1618 b=4.1618 c=5.3329 alpha=90.00 beta=90.00 gamma=120.00
Space group P-3m1 (No. 164)
Inequivalent atoms, fractional coordinates:
1 Ca 0.3333 0.6667 0.2478
2 C 0.0000 0.0000 0.5000
3 C 0.3333 0.6667 0.7222

Run iii
## Ca2C3 (PBE)

Data for Ca2C3 after structural relaxation.

The calculation puts the total moment at 0.00 μB/f.u.

Unit cell a=11.909 b=14.117 c=3.911 alpha=90.00 beta=90.00 gamma=90.00
Space group Fdd2 (No. 43)
Inequivalent atoms, fractional coordinates:
1 Ca 0.045 0.340 0.000
2 C 0.000 0.000 0.239
3 C 0.112 0.005 0.259

Verdict on stability: run ii comes out at the bottom.

Run i
## CaC4 (PBE)

Data for CaC4 after structural relaxation.

For the density of states at the Fermi level, the calculation gives 4.81 states/eV per cell. The calculation puts the total moment at 0.64 μB/f.u.

Unit cell a=4.501 b=4.501 c=4.501 alpha=90.00 beta=90.00 gamma=90.00
Space group Pm-3m (No. 221)
Inequivalent atoms, fractional coordinates:
1 Ca 0.000 0.000 0.000
2 C 0.000 0.000 0.500
3 C 0.500 0.500 0.500

Run ii
## CaC4 (PBE)

Data for CaC4 after structural relaxation.

For the density of states at the Fermi level, the calculation gives 3.09 states/eV per cell. The calculation puts the total moment at 0.00 μB/f.u.

Unit cell a=3.249 b=3.249 c=8.503 alpha=90.00 beta=90.00 gamma=90.00
Space group I4/mmm (No. 139)
Inequivalent atoms, fractional coordinates:
1 Ca 0.000 0.000 0.000
2 C 0.000 0.000 0.305
3 C 0.000 0.500 0.250

Run iii
## CaC4 (PBE)

Data for CaC4 after structural relaxation.

For the density of states at the Fermi level, the calculation gives 9.78 states/eV per cell. The calculation puts the total moment at 0.00 μB/f.u.

Unit cell a=5.263 b=5.263 c=5.263 alpha=90.00 beta=90.00 gamma=90.00
Space group Im-3m (No. 229)
Inequivalent atoms, fractional coordinates:
1 Ca 0.000 0.000 0.000
2 C 0.250 0.250 0.250

Verdict on stability: run i comes out at the bottom.

Run i
## CaC4 (PBE)

Data for CaC4 after structural relaxation.

For the density of states at the Fermi level, the calculation gives 1.13 states/eV per cell. The calculation puts the total moment at 0.00 μB/f.u.

Unit cell a=3.526 b=3.526 c=4.164 alpha=90.00 beta=90.00 gamma=90.00
Space group P4/mmm (No. 123)
Inequivalent atoms, fractional coordinates:
1 Ca 0.000 0.000 0.000
2 C 0.202 0.500 0.500

Run ii
## CaC4 (PBE)

Data for CaC4 after structural relaxation.

For the density of states at the Fermi level, the calculation gives 1.05 states/eV per cell. The calculation puts the total moment at 0.00 μB/f.u.

Unit cell a=6.917 b=2.629 c=6.548 alpha=90.00 beta=92.48 gamma=90.00
Space group C2/m (No. 12)
Inequivalent atoms, fractional coordinates:
1 Ca 0.000 0.000 0.000
2 C 0.203 0.500 0.759
3 C 0.239 0.500 0.559

Verdict on stability: run ii comes out at the bottom.